# 1
A relaxed Li2PRu crystal. Source: Alexandria, functional PBE-GGA.

Summary:
- ΔE_f (kcal/mol of atoms) = -1.23
- space-group type = P4/mmm (123)
- crystal system = tetragonal
- DFT total energy (eV per atom) = -4.68

Lattice parameters (Å, degrees): 2.543 2.543 8.258 90.00 90.00 90.00
Sites, in units of the cell vectors:
1 Li 0.000 0.000 0.232
2 Li 0.000 0.000 0.768
3 P 0.500 0.500 0.000
4 Ru 0.500 0.500 0.500

---

# 2
A relaxed Rb2CaGe crystal. Source: Alexandria, functional PBE-GGA.

Summary:
- ΔE_f (kcal/mol of atoms) = 6.72
- space-group type = I-42d (122)
- crystal system = tetragonal
- DFT total energy (eV per atom) = -1.85

Lattice parameters (Å, degrees): 13.742 13.742 13.742 159.63 159.63 28.97
Sites, in units of the cell vectors:
1 Rb 0.113 0.625 0.988
2 Rb 0.375 0.363 0.488
3 Rb 0.637 0.125 0.012
4 Rb 0.875 0.887 0.512
5 Ca 0.250 0.750 0.500
6 Ca 0.500 0.500 0.000
7 Ge 0.000 0.000 0.000
8 Ge 0.750 0.250 0.500

---

# 3
A relaxed Ba2TmUSe6 crystal. Source: Alexandria, functional PBE-GGA.

Summary:
- space-group type = P2_1/c (14)
- crystal system = monoclinic
- DFT total energy (eV per atom) = -5.76
- ΔE_f (raw) (eV per atom) = -1.711

Lattice parameters (Å, degrees): 7.437 7.802 13.074 90.00 124.60 90.00
Sites, in units of the cell vectors:
1 Ba 0.229 0.071 0.249
2 Ba 0.229 0.429 0.749
3 Ba 0.771 0.571 0.251
4 Ba 0.771 0.929 0.751
5 Tm 0.000 0.000 0.500
6 Tm 0.000 0.500 0.000
7 U 0.500 0.000 0.000
8 U 0.500 0.500 0.500
9 Se 0.158 0.198 0.957
10 Se 0.158 0.302 0.457
11 Se 0.261 0.704 0.956
12 Se 0.261 0.796 0.456
13 Se 0.337 0.015 0.753
14 Se 0.337 0.485 0.253
15 Se 0.663 0.515 0.747
16 Se 0.663 0.985 0.247
17 Se 0.739 0.204 0.544
18 Se 0.739 0.296 0.044
19 Se 0.842 0.698 0.543
20 Se 0.842 0.802 0.043

---

# 4
A relaxed LaH2Ir crystal. Source: Alexandria, functional PBE-GGA.

Summary:
- excess energy over the best structure of this formula in the dataset (meV per atom) = 478
- space-group type = Fm-3m (225)
- crystal system = cubic
- DFT total energy (eV per atom) = -5.17

Lattice parameters (Å, degrees): 4.228 4.228 4.228 60.00 60.00 60.00
Sites, in units of the cell vectors:
1 La 0.000 0.000 0.000
2 H 0.250 0.250 0.250
3 H 0.750 0.750 0.750
4 Ir 0.500 0.500 0.500

---

# 5
A relaxed SiPSe2 crystal. Source: Alexandria, functional PBE-GGA.

Summary:
- excess energy over the best structure of this formula in the dataset (meV per atom) = 348
- space-group type = I4/mmm (139)
- crystal system = tetragonal
- DFT total energy (eV per atom) = -4.19
- ΔE_f (raw) (eV per atom) = 0.261

Lattice parameters (Å, degrees): 4.667 4.667 4.667 110.75 110.75 106.94
Sites, in units of the cell vectors:
1 Si 0.000 0.000 0.000
2 P 0.500 0.500 0.000
3 Se 0.000 0.500 0.500
4 Se 0.500 0.000 0.500

---

# 6
A relaxed Cs3TaPb crystal. Source: Alexandria, functional PBE-GGA.

Summary:
- ΔE_f (kcal/mol of atoms) = 31.88
- space-group type = Pm-3m (221)
- crystal system = cubic
- DFT total energy (eV per atom) = -2.24

Lattice parameters (Å, degrees): 7.011 7.011 7.011 90.00 90.00 90.00
Sites, in units of the cell vectors:
1 Cs 0.000 0.000 0.500
2 Cs 0.000 0.500 0.000
3 Cs 0.500 0.000 0.000
4 Ta 0.000 0.000 0.000
5 Pb 0.500 0.500 0.500

---

# 7
A relaxed InSn6Pt4 crystal. Source: Alexandria, functional PBE-GGA.

Summary:
- ΔE_f (kcal/mol of atoms) = -8.47
- space-group type = Cm (8)
- crystal system = monoclinic
- DFT total energy (eV per atom) = -5.00

Lattice parameters (Å, degrees): 7.129 7.129 7.109 119.14 119.14 91.45
Sites, in units of the cell vectors:
1 In 0.000 0.000 0.000
2 Sn 0.001 0.501 0.502
3 Sn 0.184 0.474 0.001
4 Sn 0.474 0.184 0.001
5 Sn 0.501 0.001 0.502
6 Sn 0.526 0.526 0.710
7 Sn 0.816 0.816 0.290
8 Pt 0.170 0.170 0.525
9 Pt 0.356 0.830 0.001
10 Pt 0.645 0.645 0.475
11 Pt 0.830 0.356 0.001

---

# 8
A relaxed K2BaBiBr8 crystal. Source: Alexandria, functional PBE-GGA.

Summary:
- space-group type = P-1 (2)
- crystal system = triclinic
- DFT total energy (eV per atom) = -3.08
- ΔE_f (raw) (eV per atom) = -1.296

Lattice parameters (Å, degrees): 6.422 7.708 9.768 89.86 89.98 78.69
Sites, in units of the cell vectors:
1 K 0.001 0.002 0.243
2 K 0.999 0.998 0.757
3 Ba 0.500 0.500 0.500
4 Bi 0.500 0.500 0.000
5 Br 0.016 0.728 0.499
6 Br 0.070 0.694 0.002
7 Br 0.449 0.259 0.781
8 Br 0.450 0.258 0.220
9 Br 0.550 0.742 0.780
10 Br 0.551 0.741 0.219
11 Br 0.930 0.306 0.998
12 Br 0.984 0.272 0.501

---

# 9
A relaxed PaAg2Sb crystal. Source: Alexandria, functional PBE-GGA.

Summary:
- space-group type = R-3m (166)
- crystal system = trigonal
- DFT total energy (eV per atom) = -4.45
- ΔE_f (raw) (eV per atom) = 0.376

Lattice parameters (Å, degrees): 11.659 11.659 11.659 15.13 15.13 15.13
Sites, in units of the cell vectors:
1 Pa 0.000 0.000 0.000
2 Ag 0.089 0.089 0.089
3 Ag 0.911 0.911 0.911
4 Sb 0.500 0.500 0.500

---

# 10
A relaxed Zr2Zn16Ga crystal. Source: Alexandria, functional PBE-GGA.

Summary:
- ΔE_f (kcal/mol of atoms) = -2.88
- space-group type = R3m (160)
- crystal system = trigonal
- DFT total energy (eV per atom) = -2.26

Lattice parameters (Å, degrees): 6.688 6.688 6.688 83.24 83.24 83.24
Sites, in units of the cell vectors:
1 Zr 0.000 0.000 0.000
2 Zr 0.333 0.333 0.333
3 Zn 0.020 0.020 0.502
4 Zn 0.020 0.502 0.020
5 Zn 0.162 0.670 0.670
6 Zn 0.311 0.311 0.836
7 Zn 0.311 0.836 0.311
8 Zn 0.358 0.667 0.976
9 Zn 0.358 0.976 0.667
10 Zn 0.502 0.020 0.020
11 Zn 0.667 0.358 0.976
12 Zn 0.667 0.976 0.358
13 Zn 0.670 0.162 0.670
14 Zn 0.670 0.670 0.162
15 Zn 0.766 0.766 0.766
16 Zn 0.836 0.311 0.311
17 Zn 0.976 0.358 0.667
18 Zn 0.976 0.667 0.358
19 Ga 0.564 0.564 0.564

---

# 11
A relaxed Th4SiOs crystal. Source: Alexandria, functional PBE-GGA.

Summary:
- space-group type = P4/mcc (124)
- crystal system = tetragonal
- DFT total energy (eV per atom) = -8.10
- ΔE_f (raw) (eV per atom) = -0.373

Lattice parameters (Å, degrees): 7.257 7.257 6.012 90.00 90.00 90.00
Sites, in units of the cell vectors:
1 Th 0.158 0.327 0.000
2 Th 0.158 0.673 0.500
3 Th 0.327 0.158 0.500
4 Th 0.327 0.842 0.000
5 Th 0.673 0.158 0.000
6 Th 0.673 0.842 0.500
7 Th 0.842 0.327 0.500
8 Th 0.842 0.673 0.000
9 Si 0.500 0.500 0.250
10 Si 0.500 0.500 0.750
11 Os 0.000 0.000 0.250
12 Os 0.000 0.000 0.750

---

# 12
A relaxed Tb4Ge8Au crystal. Source: Alexandria, functional PBE-GGA.

Summary:
- ΔE_f (kcal/mol of atoms) = -13.61
- space-group type = Pmm2 (25)
- crystal system = orthorhombic
- DFT total energy (eV per atom) = -5.11

Lattice parameters (Å, degrees): 3.983 4.089 17.103 90.00 90.00 90.00
Sites, in units of the cell vectors:
1 Tb 0.000 0.000 0.000
2 Tb 0.000 0.500 0.473
3 Tb 0.500 0.000 0.794
4 Tb 0.500 0.500 0.274
5 Ge 0.000 0.000 0.324
6 Ge 0.000 0.000 0.612
7 Ge 0.000 0.500 0.134
8 Ge 0.000 0.500 0.863
9 Ge 0.500 0.000 0.141
10 Ge 0.500 0.000 0.420
11 Ge 0.500 0.500 0.611
12 Ge 0.500 0.500 0.956
13 Au 0.000 0.500 0.715

---

# 13
A relaxed CrGaSe2 crystal. Source: Alexandria, functional PBE-GGA.

Summary:
- space-group type = R3m (160)
- crystal system = trigonal
- DFT total energy (eV per atom) = -5.30
- ΔE_f (raw) (eV per atom) = -0.391

Lattice parameters (Å, degrees): 7.394 7.394 7.394 29.25 29.25 29.25
Sites, in units of the cell vectors:
1 Cr 0.000 0.000 0.000
2 Ga 0.164 0.164 0.164
3 Se 0.401 0.401 0.401
4 Se 0.603 0.603 0.603

---

# 14
A relaxed Tl5Pb4 crystal. Source: Alexandria, functional PBE-GGA.

Summary:
- excess energy over the best structure of this formula in the dataset (meV per atom) = 24
- ΔE_f (kcal/mol of atoms) = 0.40
- space-group type = I4/mmm (139)
- crystal system = tetragonal
- DFT total energy (eV per atom) = -2.95

Lattice parameters (Å, degrees): 8.969 8.969 8.969 92.40 92.40 156.39
Sites, in units of the cell vectors:
1 Tl 0.000 0.000 0.000
2 Tl 0.333 0.333 0.666
3 Tl 0.333 0.667 0.000
4 Tl 0.667 0.333 0.000
5 Tl 0.667 0.667 0.334
6 Pb 0.000 0.336 0.336
7 Pb 0.000 0.664 0.664
8 Pb 0.336 0.000 0.336
9 Pb 0.664 0.000 0.664

---

# 15
A relaxed Cd3Ag crystal. Source: Alexandria, functional PBE-GGA.

Summary:
- ΔE_f (kcal/mol of atoms) = 0.20
- space-group type = Pm-3n (223)
- crystal system = cubic
- DFT total energy (eV per atom) = -1.39

Lattice parameters (Å, degrees): 5.553 5.553 5.553 90.00 90.00 90.00
Sites, in units of the cell vectors:
1 Cd 0.000 0.250 0.500
2 Cd 0.000 0.750 0.500
3 Cd 0.250 0.500 0.000
4 Cd 0.500 0.000 0.250
5 Cd 0.500 0.000 0.750
6 Cd 0.750 0.500 0.000
7 Ag 0.000 0.000 0.000
8 Ag 0.500 0.500 0.500

---

# 16
A relaxed TbNd2TlO6 crystal. Source: Alexandria, functional PBE-GGA.

Summary:
- space-group type = R3 (146)
- crystal system = trigonal
- DFT total energy (eV per atom) = -7.32
- ΔE_f (raw) (eV per atom) = -2.688

Lattice parameters (Å, degrees): 6.203 6.203 6.203 57.62 57.62 57.62
Sites, in units of the cell vectors:
1 Tb 0.000 0.000 0.000
2 Nd 0.281 0.281 0.281
3 Nd 0.779 0.779 0.779
4 Tl 0.501 0.501 0.501
5 O 0.109 0.696 0.373
6 O 0.191 0.617 0.877
7 O 0.373 0.109 0.696
8 O 0.617 0.877 0.191
9 O 0.696 0.373 0.109
10 O 0.877 0.191 0.617

---

# 17
A relaxed Gd2TeRu crystal. Source: Alexandria, functional PBE-GGA.

Summary:
- excess energy over the best structure of this formula in the dataset (meV per atom) = 36
- space-group type = R-3m (166)
- crystal system = trigonal
- DFT total energy (eV per atom) = -10.83
- ΔE_f (raw) (eV per atom) = -0.681

Lattice parameters (Å, degrees): 7.698 7.698 7.698 31.13 31.13 31.13
Sites, in units of the cell vectors:
1 Gd 0.237 0.237 0.237
2 Gd 0.763 0.763 0.763
3 Te 0.000 0.000 0.000
4 Ru 0.500 0.500 0.500

---

# 18
A relaxed Sr5Rh3 crystal. Source: Alexandria, functional PBE-GGA.

Summary:
- ΔE_f (kcal/mol of atoms) = -0.28
- space-group type = Cmmm (65)
- crystal system = orthorhombic
- DFT total energy (eV per atom) = -3.82

Lattice parameters (Å, degrees): 7.177 7.177 4.838 90.00 90.00 110.36
Sites, in units of the cell vectors:
1 Sr 0.000 0.000 0.000
2 Sr 0.000 0.500 0.000
3 Sr 0.297 0.297 0.500
4 Sr 0.500 0.000 0.000
5 Sr 0.703 0.703 0.500
6 Rh 0.176 0.824 0.500
7 Rh 0.500 0.500 0.000
8 Rh 0.824 0.176 0.500

---

# 19
A relaxed MgBrO2 crystal. Source: Alexandria, functional PBE-GGA.

Summary:
- excess energy over the best structure of this formula in the dataset (meV per atom) = 118
- space-group type = Pnma (62)
- crystal system = orthorhombic
- DFT total energy (eV per atom) = -4.39
- ΔE_f (raw) (eV per atom) = -1.096

Lattice parameters (Å, degrees): 6.294 3.045 13.037 90.00 90.00 90.00
Sites, in units of the cell vectors:
1 Mg 0.086 0.250 0.092
2 Mg 0.414 0.750 0.592
3 Mg 0.586 0.250 0.408
4 Mg 0.914 0.750 0.908
5 Br 0.066 0.750 0.382
6 Br 0.434 0.250 0.882
7 Br 0.566 0.750 0.118
8 Br 0.934 0.250 0.618
9 O 0.130 0.250 0.932
10 O 0.230 0.250 0.649
11 O 0.270 0.750 0.149
12 O 0.370 0.750 0.432
13 O 0.630 0.250 0.568
14 O 0.730 0.250 0.851
15 O 0.770 0.750 0.351
16 O 0.870 0.750 0.068

---

# 20
A relaxed LiPCl2 crystal. Source: Alexandria, functional PBE-GGA.

Summary:
- excess energy over the best structure of this formula in the dataset (meV per atom) = 339
- space-group type = P4/nmm (129)
- crystal system = tetragonal
- DFT total energy (eV per atom) = -3.07
- ΔE_f (raw) (eV per atom) = -0.320

Lattice parameters (Å, degrees): 4.717 4.717 8.737 90.00 90.00 90.00
Sites, in units of the cell vectors:
1 Li 0.250 0.250 0.114
2 Li 0.750 0.750 0.886
3 P 0.250 0.250 0.425
4 P 0.750 0.750 0.575
5 Cl 0.250 0.250 0.856
6 Cl 0.250 0.750 0.500
7 Cl 0.750 0.250 0.500
8 Cl 0.750 0.750 0.144

---

# 21
A relaxed YBeTeN2 crystal. Source: Alexandria, functional PBE-GGA.

Summary:
- excess energy over the best structure of this formula in the dataset (meV per atom) = 0
- space-group type = P4/mmm (123)
- crystal system = tetragonal
- DFT total energy (eV per atom) = -5.34
- ΔE_f (raw) (eV per atom) = 0.653

Lattice parameters (Å, degrees): 4.049 4.049 4.813 90.00 90.00 90.00
Sites, in units of the cell vectors:
1 Y 0.000 0.000 0.000
2 Be 0.500 0.500 0.500
3 Te 0.500 0.500 0.000
4 N 0.000 0.500 0.500
5 N 0.500 0.000 0.500

---

# 22
A relaxed IrF crystal. Source: Alexandria, functional PBE-GGA.

Summary:
- excess energy over the best structure of this formula in the dataset (meV per atom) = 286
- space-group type = P2_12_12_1 (19)
- crystal system = orthorhombic
- DFT total energy (eV per atom) = -5.66
- ΔE_f (raw) (eV per atom) = -0.296

Lattice parameters (Å, degrees): 3.744 7.479 9.607 90.00 90.00 90.00
Sites, in units of the cell vectors:
1 Ir 0.031 0.184 0.287
2 Ir 0.048 0.183 0.561
3 Ir 0.452 0.817 0.061
4 Ir 0.469 0.816 0.787
5 Ir 0.531 0.316 0.713
6 Ir 0.548 0.317 0.439
7 Ir 0.952 0.683 0.939
8 Ir 0.969 0.684 0.213
9 F 0.095 0.421 0.178
10 F 0.236 0.085 0.104
11 F 0.264 0.915 0.604
12 F 0.405 0.579 0.678
13 F 0.595 0.079 0.822
14 F 0.736 0.415 0.896
15 F 0.764 0.585 0.396
16 F 0.905 0.921 0.322

---

# 23
A relaxed KTaAg2 crystal. Source: Alexandria, functional PBE-GGA.

Summary:
- excess energy over the best structure of this formula in the dataset (meV per atom) = 170
- ΔE_f (kcal/mol of atoms) = 14.96
- space-group type = Cm (8)
- crystal system = monoclinic
- DFT total energy (eV per atom) = -4.01

Lattice parameters (Å, degrees): 5.899 5.899 5.512 101.09 101.09 27.13
Sites, in units of the cell vectors:
1 K 0.000 0.000 0.000
2 Ta 0.208 0.208 0.592
3 Ag 0.460 0.460 0.490
4 Ag 0.753 0.753 0.120

---

| no. | size of the total moment (μB/f.u.) |
| --- | --- |
| 1 | 0.31 |
| 2 | 0.00 |
| 3 | 1.00 |
| 4 | 0.00 |
| 5 | 0.00 |
| 6 | 7.28 |
| 7 | 0.00 |
| 8 | 0.91 |
| 9 | 0.82 |
| 10 | 0.00 |
| 11 | 0.00 |
| 12 | 0.00 |
| 13 | 3.04 |
| 14 | 0.00 |
| 15 | 0.00 |
| 16 | 0.00 |
| 17 | 13.95 |
| 18 | 0.00 |
| 19 | 0.00 |
| 20 | 0.00 |
| 21 | 1.87 |
| 22 | 0.00 |
| 23 | 0.00 |